[1]
The following is a PBE calculation of crystalline YV2Zn2 at its relaxed geometry, from Alexandria.

Summary:
**Raw total energy**: -5.227 eV per atom
**Formation energy from the elements**: 108 kJ/mol of formula units

a = 5.9775 Å, b = 5.9775 Å, c = 5.9775 Å
α = 138.89°, β = 138.89°, γ = 59.54°
Atoms (fractional coordinates):
Y (0.0000, 0.0000, 0.0000)
V (0.4070, 0.4070, 0.0000)
V (0.5930, 0.5930, 0.0000)
Zn (0.2500, 0.7500, 0.5000)
Zn (0.7500, 0.2500, 0.5000)



[2]
The following is a PBE calculation of crystalline YV3Zn at its relaxed geometry, from Alexandria.

Summary:
**Raw total energy**: -6.036 eV per atom
**Formation energy from the elements**: 474 kJ/mol of formula units

a = 4.7163 Å, b = 4.7163 Å, c = 4.7163 Å
α = 90.00°, β = 90.00°, γ = 90.00°
Atoms (fractional coordinates):
Y (0.0000, 0.0000, 0.0000)
V (0.0000, 0.5000, 0.5000)
V (0.5000, 0.0000, 0.5000)
V (0.5000, 0.5000, 0.0000)
Zn (0.5000, 0.5000, 0.5000)



[3]
The following is a PBE calculation of crystalline YV3Zn at its relaxed geometry, from Alexandria.

Summary:
**Raw total energy**: -5.005 eV per atom
**Formation energy from the elements**: 972 kJ/mol of formula units

a = 4.7201 Å, b = 4.7201 Å, c = 4.7201 Å
α = 90.00°, β = 90.00°, γ = 90.00°
Atoms (fractional coordinates):
Y (0.0000, 0.0000, 0.0000)
V (0.0000, 0.0000, 0.5000)
V (0.0000, 0.5000, 0.0000)
V (0.5000, 0.0000, 0.0000)
Zn (0.5000, 0.5000, 0.5000)



[4]
The following is a PBE calculation of crystalline Y2V2Zn at its relaxed geometry, from Alexandria.

Summary:
**Raw total energy**: -6.243 eV per atom
**Formation energy from the elements**: 118 kJ/mol of formula units

a = 6.8697 Å, b = 6.8697 Å, c = 4.4781 Å
α = 90.00°, β = 90.00°, γ = 90.00°
Atoms (fractional coordinates):
Y (0.1770, 0.3230, 0.0000)
Y (0.3230, 0.8230, 0.0000)
Y (0.6770, 0.1770, 0.0000)
Y (0.8230, 0.6770, 0.0000)
V (0.1174, 0.6174, 0.5000)
V (0.3826, 0.1174, 0.5000)
V (0.6174, 0.8826, 0.5000)
V (0.8826, 0.3826, 0.5000)
Zn (0.0000, 0.0000, 0.5000)
Zn (0.5000, 0.5000, 0.5000)



[5]
The following is a PBE calculation of crystalline YV2Zn2 at its relaxed geometry, from Alexandria.

Summary:
**Raw total energy**: -5.331 eV per atom
**Formation energy from the elements**: 57 kJ/mol of formula units

a = 7.7350 Å, b = 7.7350 Å, c = 2.8254 Å
α = 90.00°, β = 90.00°, γ = 90.00°
Atoms (fractional coordinates):
Y (0.0000, 0.0000, 0.0000)
Y (0.5000, 0.5000, 0.0000)
V (0.1016, 0.3984, 0.0000)
V (0.3984, 0.8984, 0.0000)
V (0.6016, 0.1016, 0.0000)
V (0.8984, 0.6016, 0.0000)
Zn (0.1877, 0.6877, 0.5000)
Zn (0.3123, 0.1877, 0.5000)
Zn (0.6877, 0.8123, 0.5000)
Zn (0.8123, 0.3123, 0.5000)



[6]
The following is a PBE calculation of crystalline YZr2V2 at its relaxed geometry, from Alexandria.

Summary:
**Raw total energy**: -8.119 eV per atom
**Formation energy from the elements**: 116 kJ/mol of formula units

a = 7.7598 Å, b = 7.7598 Å, c = 3.5070 Å
α = 90.00°, β = 90.00°, γ = 90.00°
Atoms (fractional coordinates):
Y (0.0000, 0.0000, 0.0000)
Y (0.5000, 0.5000, 0.0000)
Zr (0.1732, 0.3268, 0.5000)
Zr (0.3268, 0.8268, 0.5000)
Zr (0.6732, 0.1732, 0.5000)
Zr (0.8268, 0.6732, 0.5000)
V (0.1105, 0.6105, 0.0000)
V (0.3895, 0.1105, 0.0000)
V (0.6105, 0.8895, 0.0000)
V (0.8895, 0.3895, 0.0000)



[7]
The following is a PBE calculation of crystalline YZr3V at its relaxed geometry, from Alexandria.

Summary:
**Raw total energy**: -7.807 eV per atom
**Formation energy from the elements**: 211 kJ/mol of formula units

a = 5.0159 Å, b = 5.0159 Å, c = 5.0159 Å
α = 90.00°, β = 90.00°, γ = 90.00°
Atoms (fractional coordinates):
Y (0.0000, 0.0000, 0.0000)
Zr (0.0000, 0.5000, 0.5000)
Zr (0.5000, 0.0000, 0.5000)
Zr (0.5000, 0.5000, 0.0000)
V (0.5000, 0.5000, 0.5000)



[8]
The following is a PBE calculation of crystalline YZrV3 at its relaxed geometry, from Alexandria.

Summary:
**Raw total energy**: -7.308 eV per atom
**Formation energy from the elements**: 562 kJ/mol of formula units

a = 4.7493 Å, b = 4.7493 Å, c = 4.7493 Å
α = 90.00°, β = 90.00°, γ = 90.00°
Atoms (fractional coordinates):
Y (0.0000, 0.0000, 0.0000)
Zr (0.5000, 0.5000, 0.5000)
V (0.0000, 0.5000, 0.5000)
V (0.5000, 0.0000, 0.5000)
V (0.5000, 0.5000, 0.0000)



[9]
The following is a PBE calculation of crystalline YZr3V at its relaxed geometry, from Alexandria.

Summary:
**Raw total energy**: -6.592 eV per atom
**Formation energy from the elements**: 798 kJ/mol of formula units

a = 5.1393 Å, b = 5.1393 Å, c = 5.1393 Å
α = 90.00°, β = 90.00°, γ = 90.00°
Atoms (fractional coordinates):
Y (0.0000, 0.0000, 0.0000)
Zr (0.0000, 0.0000, 0.5000)
Zr (0.0000, 0.5000, 0.0000)
Zr (0.5000, 0.0000, 0.0000)
V (0.5000, 0.5000, 0.5000)



[10]
The following is a PBE calculation of crystalline Y2ZrV2 at its relaxed geometry, from Alexandria.

Summary:
**Raw total energy**: -7.525 eV per atom
**Formation energy from the elements**: 202 kJ/mol of formula units

a = 8.1696 Å, b = 8.1696 Å, c = 3.4864 Å
α = 90.00°, β = 90.00°, γ = 90.00°
Atoms (fractional coordinates):
Y (0.2028, 0.2972, 0.0000)
Y (0.2972, 0.7972, 0.0000)
Y (0.7028, 0.2028, 0.0000)
Y (0.7972, 0.7028, 0.0000)
Zr (0.0000, 0.0000, 0.5000)
Zr (0.5000, 0.5000, 0.5000)
V (0.0833, 0.5833, 0.5000)
V (0.4167, 0.0833, 0.5000)
V (0.5833, 0.9167, 0.5000)
V (0.9167, 0.4167, 0.5000)



[11]
The following is a PBE calculation of crystalline Y2ZrV at its relaxed geometry, from Alexandria.

Summary:
**Raw total energy**: -6.972 eV per atom
**Formation energy from the elements**: 261 kJ/mol of formula units

a = 6.5735 Å, b = 6.5735 Å, c = 6.5735 Å
α = 102.92°, β = 102.92°, γ = 123.57°
Atoms (fractional coordinates):
Y (0.0889, 0.6250, 0.9639)
Y (0.3750, 0.3389, 0.4639)
Y (0.6611, 0.1250, 0.0361)
Y (0.8750, 0.9111, 0.5361)
Zr (0.2500, 0.7500, 0.5000)
Zr (0.5000, 0.5000, 0.0000)
V (0.0000, 0.0000, 0.0000)
V (0.7500, 0.2500, 0.5000)



[12]
The following is a PBE calculation of crystalline Y3ZrV at its relaxed geometry, from Alexandria.

Summary:
**Raw total energy**: -6.699 eV per atom
**Formation energy from the elements**: 344 kJ/mol of formula units

a = 5.2550 Å, b = 5.2550 Å, c = 5.2550 Å
α = 90.00°, β = 90.00°, γ = 90.00°
Atoms (fractional coordinates):
Y (0.0000, 0.0000, 0.5000)
Y (0.0000, 0.5000, 0.0000)
Y (0.5000, 0.0000, 0.0000)
Zr (0.5000, 0.5000, 0.5000)
V (0.0000, 0.0000, 0.0000)



[13]
The following is a PBE calculation of crystalline Y2ZrV at its relaxed geometry, from Alexandria.

Summary:
**Raw total energy**: -7.282 eV per atom
**Formation energy from the elements**: 141 kJ/mol of formula units

a = 5.2296 Å, b = 5.2296 Å, c = 5.2296 Å
α = 60.00°, β = 60.00°, γ = 60.00°
Atoms (fractional coordinates):
Y (0.2500, 0.2500, 0.2500)
Y (0.7500, 0.7500, 0.7500)
Zr (0.0000, 0.0000, 0.0000)
V (0.5000, 0.5000, 0.5000)



[14]
The following is a PBE calculation of crystalline Yb3V at its relaxed geometry, from Alexandria.

Summary:
**Raw total energy**: -3.116 eV per atom
**Formation energy from the elements**: 119 kJ/mol of formula units

a = 4.8458 Å, b = 4.8458 Å, c = 4.8458 Å
α = 90.00°, β = 90.00°, γ = 90.00°
Atoms (fractional coordinates):
Yb (0.0000, 0.0000, 0.5000)
Yb (0.0000, 0.5000, 0.0000)
Yb (0.5000, 0.0000, 0.0000)
V (0.5000, 0.5000, 0.5000)



[15]
The following is a PBE calculation of crystalline Yb3V at its relaxed geometry, from Alexandria.

Summary:
**Raw total energy**: -3.127 eV per atom
**Formation energy from the elements**: 115 kJ/mol of formula units

a = 5.8277 Å, b = 5.8277 Å, c = 5.8277 Å
α = 129.99°, β = 129.99°, γ = 73.43°
Atoms (fractional coordinates):
Yb (0.0000, 0.0000, 0.0000)
Yb (0.2500, 0.7500, 0.5000)
Yb (0.7500, 0.2500, 0.5000)
V (0.5000, 0.5000, 0.0000)



[16]
The following is a PBE calculation of crystalline VZn3 at its relaxed geometry, from Alexandria.

Summary:
**Raw total energy**: -3.198 eV per atom
**Formation energy from the elements**: 14 kJ/mol of formula units

a = 5.3221 Å, b = 5.3221 Å, c = 5.3221 Å
α = 152.59°, β = 63.25°, γ = 124.22°
Atoms (fractional coordinates):
V (0.0000, 0.0000, 0.0000)
Zn (0.4388, 0.6914, 0.7474)
Zn (0.5012, 0.0012, 0.5000)
Zn (0.9441, 0.6914, 0.2526)



[17]
The following is a PBE calculation of crystalline V5Zn at its relaxed geometry, from Alexandria.

Summary:
**Raw total energy**: -7.780 eV per atom
**Formation energy from the elements**: 18 kJ/mol of formula units

a = 4.9350 Å, b = 4.9350 Å, c = 5.7994 Å
α = 106.46°, β = 106.46°, γ = 37.26°
Atoms (fractional coordinates):
V (0.0000, 0.0000, 0.0000)
V (0.3292, 0.3292, 0.6758)
V (0.3337, 0.3337, 0.1606)
V (0.6663, 0.6663, 0.8394)
V (0.6708, 0.6708, 0.3242)
Zn (0.0000, 0.0000, 0.5000)



[18]
The following is a PBE calculation of crystalline V3Zn2 at its relaxed geometry, from Alexandria.

Summary:
**Raw total energy**: -5.981 eV per atom
**Formation energy from the elements**: 0 kJ/mol of formula units

a = 10.6498 Å, b = 10.6498 Å, c = 10.6498 Å
α = 166.26°, β = 166.26°, γ = 19.48°
Atoms (fractional coordinates):
V (0.0000, 0.0000, 0.0000)
V (0.1997, 0.1997, 0.0000)
V (0.8003, 0.8003, 0.0000)
Zn (0.4013, 0.4013, 0.0000)
Zn (0.5987, 0.5987, 0.0000)



[19]
The following is a PBE calculation of crystalline VZn3 at its relaxed geometry, from Alexandria.

Summary:
**Raw total energy**: -3.133 eV per atom
**Formation energy from the elements**: 39 kJ/mol of formula units

a = 2.7594 Å, b = 4.3626 Å, c = 4.8333 Å
α = 90.00°, β = 90.00°, γ = 90.00°
Atoms (fractional coordinates):
V (0.0000, 0.0000, 0.0000)
Zn (0.0000, 0.5000, 0.3239)
Zn (0.5000, 0.0000, 0.5030)
Zn (0.5000, 0.5000, 0.8410)



[20]
The following is a PBE calculation of crystalline V3Zn4 at its relaxed geometry, from Alexandria.

Summary:
**Raw total energy**: -4.536 eV per atom
**Formation energy from the elements**: 68 kJ/mol of formula units

a = 11.6283 Å, b = 11.6283 Å, c = 11.6283 Å
α = 165.36°, β = 165.36°, γ = 20.76°
Atoms (fractional coordinates):
V (0.0000, 0.0000, 0.0000)
V (0.2755, 0.2755, 0.0000)
V (0.7245, 0.7245, 0.0000)
Zn (0.1486, 0.1486, 0.0000)
Zn (0.4238, 0.4238, 0.0000)
Zn (0.5762, 0.5762, 0.0000)
Zn (0.8514, 0.8514, 0.0000)